[1]
DFT (PBE) results for a relaxed TlWCl2 crystal.

POSCAR file:
```
TlWCl2
1.0
-2.017 4.488 4.829
-4.289 4.627 2.780
-4.583 -0.679 5.034
Tl W Cl
1 1 2
direct
0.563 0.563 0.499
0.297 0.297 0.031
0.902 0.902 0.131
0.738 0.738 0.839
```

Results
- Formation energy without anion corrections: -7 meV/atom
- Energy: -4.760 eV per atom
- ρ: 7.23 Mg/m³

=====

[2]
DFT (PBE) results for a relaxed Dy2In5I12 crystal.

POSCAR file:
```
Dy2In5I12
1.0
8.895 0.000 0.000
-4.448 8.717 -3.686
0.000 0.662 10.762
Dy In I
2 5 12
direct
0.745 0.000 0.000
0.255 0.000 0.000
0.276 0.552 0.627
0.317 0.634 0.181
0.000 0.000 0.500
0.683 0.366 0.819
0.724 0.448 0.373
0.001 0.002 0.192
0.096 0.667 0.910
0.571 0.667 0.910
0.114 0.745 0.436
0.631 0.745 0.436
0.493 0.986 0.795
0.507 0.014 0.205
0.886 0.255 0.564
0.369 0.255 0.564
0.904 0.333 0.090
0.429 0.333 0.090
0.999 0.998 0.808
```

Results
- Formation energy without anion corrections: -806 meV/atom
- Energy: -2.991 eV per atom
- ρ: 4.70 Mg/m³

=====

[3]
DFT (PBE) results for a relaxed Te3S2Br2 crystal.

POSCAR file:
```
Te3S2Br2
1.0
3.746 0.000 0.000
0.000 9.878 -0.982
-1.873 -3.270 6.929
Te S Br
3 2 2
direct
0.000 0.000 0.000
0.273 0.724 0.545
0.727 0.276 0.455
0.126 0.316 0.251
0.874 0.684 0.749
0.355 0.243 0.709
0.645 0.757 0.291
```

Results
- Formation energy without anion corrections: 25 meV/atom
- Energy: -2.978 eV per atom
- ρ: 4.12 Mg/m³

=====

[4]
DFT (PBE) results for a relaxed Pu2AsSe crystal.

POSCAR file:
```
Pu2AsSe
1.0
-4.559 0.393 -2.081
-4.094 -1.155 2.679
-3.137 3.634 1.488
As Se Pu
1 1 2
direct
0.000 0.000 0.000
0.500 0.500 0.500
0.250 0.250 0.250
0.750 0.750 0.750
```

Results
- Formation energy without anion corrections: -1097 meV/atom
- Energy: -10.296 eV per atom
- ρ: 11.87 Mg/m³

=====

[5]
DFT (PBE) results for a relaxed NaTmSbAu crystal.

POSCAR file:
```
NaTmSbAu
1.0
-0.693 -3.751 -3.444
2.325 -4.539 0.640
-2.764 -4.151 1.242
Sb Tm Au Na
1 1 1 1
direct
0.500 0.500 0.500
0.750 0.750 0.750
0.000 0.000 0.000
0.250 0.250 0.250
```

Results
- Formation energy without anion corrections: -642 meV/atom
- Energy: -3.940 eV per atom
- ρ: 8.83 Mg/m³

=====

[6]
DFT (PBE) results for a relaxed LaNiAs4 crystal.

POSCAR file:
```
LaNiAs4
1.0
0.000 3.956 3.956
3.956 0.000 3.956
3.956 3.956 0.000
La Ni As
1 1 4
direct
0.750 0.750 0.750
0.000 0.000 0.000
0.372 0.883 0.372
0.883 0.372 0.372
0.372 0.372 0.883
0.372 0.372 0.372
```

Results
- Energy: -4.912 eV per atom
- ρ: 6.67 Mg/m³

=====

[7]
DFT (PBE) results for a relaxed TbBe5Cu7 crystal.

POSCAR file:
```
TbBe5Cu7
1.0
4.510 0.000 0.000
2.255 5.786 0.005
2.255 -0.014 5.786
Tb Be Cu
1 5 7
direct
0.997 0.003 0.003
0.500 0.995 0.503
0.002 0.995 0.503
0.500 0.503 0.995
0.002 0.503 0.995
0.738 0.762 0.762
0.644 0.356 0.356
0.345 0.655 0.655
0.994 0.357 0.654
0.994 0.654 0.357
0.273 0.227 0.227
0.505 0.778 0.212
0.505 0.212 0.778
```

Results
- Energy: -4.129 eV per atom
- ρ: 7.14 Mg/m³

=====

[8]
DFT (PBE) results for a relaxed Pu7Ir2Ru2 crystal.

POSCAR file:
```
Pu7Ir2Ru2
1.0
-3.852 4.405 -4.434
-0.015 -0.679 -5.227
-5.072 -3.123 4.293
Pu Ir Ru
7 2 2
direct
0.087 0.221 0.462
0.462 0.779 0.087
0.913 0.779 0.538
0.538 0.221 0.913
0.000 0.000 0.000
0.598 0.703 0.402
0.402 0.297 0.598
0.742 0.028 0.258
0.258 0.972 0.742
0.753 0.500 0.753
0.247 0.500 0.247
```

Results
- Energy: -12.337 eV per atom
- ρ: 18.47 Mg/m³

=====

[9]
DFT (PBE) results for a relaxed LaSnGeAu crystal.

POSCAR file:
```
LaSnGeAu
1.0
5.160 0.000 0.000
2.580 4.468 0.000
2.580 1.489 4.213
Ge Au Sn La
1 1 1 1
direct
0.750 0.750 0.750
0.250 0.250 0.250
0.500 0.500 0.500
0.000 0.000 0.000
```

Results
- Energy: -4.694 eV per atom
- ρ: 9.01 Mg/m³

=====

[10]
DFT (PBE) results for a relaxed TlIN3 crystal.

POSCAR file:
```
TlIN3
1.0
-3.187 -2.587 -0.260
2.459 -3.133 1.028
-0.845 0.641 3.974
I Tl N
1 1 3
direct
0.000 0.000 0.000
0.500 0.500 0.500
0.000 0.500 0.000
0.000 0.000 0.500
0.500 0.000 0.000
```

Results
- Formation energy without anion corrections: 2071 meV/atom
- Energy: -3.708 eV per atom
- ρ: 8.91 Mg/m³